No. 1
## CsKGa2Cl8 (PBE)

Data for a relaxed structure of CsKGa2Cl8.

## Properties
Electronic total energy in eV per atom: -3.411
Symmetry: No. 148
N(E_F) in states/eV per cell: 0.0

abc: 10.714 10.714 10.714
angles: 37.62 37.62 37.62
Fractional positions:
Cs1 0.000 0.000 0.000
K1 0.500 0.500 0.500
Ga1 0.254 0.254 0.254
Ga2 0.746 0.746 0.746
Cl1 0.046 0.447 0.816
Cl2 0.184 0.954 0.553
Cl3 0.328 0.328 0.328
Cl4 0.447 0.816 0.046
Cl5 0.553 0.184 0.954
Cl6 0.672 0.672 0.672
Cl7 0.816 0.046 0.447
Cl8 0.954 0.553 0.184



No. 2
## Pu4GaSn (PBE)

Data for a relaxed structure of Pu4GaSn.

## Properties
Electronic total energy in eV per atom: -10.764
Symmetry: No. 71
N(E_F) in states/eV per cell: 21.1

abc: 6.524 6.524 6.524
angles: 141.08 116.63 76.92
Fractional positions:
Pu1 0.090 0.853 0.237
Pu2 0.384 0.147 0.237
Pu3 0.616 0.853 0.763
Pu4 0.910 0.147 0.763
Ga1 0.000 0.500 0.500
Sn1 0.500 0.500 0.000



No. 3
## PmThTlRh (PBE)

Data for a relaxed structure of PmThTlRh.

## Properties
Electronic total energy in eV per atom: -5.959
Symmetry: No. 8
N(E_F) in states/eV per cell: 4.2

abc: 4.019 4.019 8.700
angles: 103.32 103.32 60.08
Fractional positions:
Pm1 0.000 0.000 0.000
Th1 0.798 0.798 0.392
Tl1 0.232 0.232 0.697
Rh1 0.404 0.404 0.210



No. 4
## CoCuN (PBE)

Data for a relaxed structure of CoCuN.

## Properties
Polymorph energy (0 for the lowest one) in eV per atom: 0.178
Symmetry: No. 129
N(E_F) in states/eV per cell: 3.4

abc: 2.688 2.688 8.474
angles: 90.00 90.00 90.00
Fractional positions:
Co1 0.250 0.250 0.098
Co2 0.750 0.750 0.902
Cu1 0.250 0.250 0.404
Cu2 0.750 0.750 0.596
N1 0.250 0.250 0.854
N2 0.750 0.750 0.146



No. 5
## ScNb3Fe (PBE)

Data for a relaxed structure of ScNb3Fe.

## Properties
Polymorph energy (0 for the lowest one) in eV per atom: 1.554
Symmetry: No. 221
N(E_F) in states/eV per cell: 13.1

abc: 4.673 4.673 4.673
angles: 90.00 90.00 90.00
Fractional positions:
Sc1 0.000 0.000 0.000
Nb1 0.000 0.000 0.500
Nb2 0.000 0.500 0.000
Nb3 0.500 0.000 0.000
Fe1 0.500 0.500 0.500



No. 6
## CaPrMg2Hg4 (PBE)

Data for a relaxed structure of CaPrMg2Hg4.

## Properties
Electronic total energy in eV per atom: -1.842
Symmetry: No. 166
N(E_F) in states/eV per cell: 4.1

abc: 9.056 9.056 9.056
angles: 32.94 32.94 32.94
Fractional positions:
Ca1 0.000 0.000 0.000
Pr1 0.500 0.500 0.500
Mg1 0.250 0.250 0.250
Mg2 0.750 0.750 0.750
Hg1 0.122 0.122 0.122
Hg2 0.374 0.374 0.374
Hg3 0.626 0.626 0.626
Hg4 0.878 0.878 0.878



No. 7
## La8NiS3Cl4 (PBE)

Data for a relaxed structure of La8NiS3Cl4.

## Properties
Electronic total energy in eV per atom: -5.711
Symmetry: No. 166
N(E_F) in states/eV per cell: 13.8

abc: 8.366 8.366 8.366
angles: 59.75 59.75 59.75
Fractional positions:
La1 0.244 0.244 0.244
La2 0.247 0.742 0.742
La3 0.258 0.258 0.753
La4 0.258 0.753 0.258
La5 0.742 0.247 0.742
La6 0.742 0.742 0.247
La7 0.753 0.258 0.258
La8 0.756 0.756 0.756
Ni1 0.500 0.500 0.500
S1 0.000 0.000 0.500
S2 0.000 0.500 0.000
S3 0.500 0.000 0.000
Cl1 0.000 0.000 0.000
Cl2 0.000 0.500 0.500
Cl3 0.500 0.000 0.500
Cl4 0.500 0.500 0.000



No. 8
## Cs2Cd2HgBr6 (PBE)

Data for a relaxed structure of Cs2Cd2HgBr6.

## Properties
Electronic total energy in eV per atom: -2.316
Symmetry: No. 12
N(E_F) in states/eV per cell: 0.0

abc: 7.888 7.888 9.447
angles: 103.72 103.72 62.53
Fractional positions:
Cs1 0.181 0.181 0.211
Cs2 0.819 0.819 0.789
Cd1 0.481 0.481 0.782
Cd2 0.519 0.519 0.218
Hg1 0.000 0.000 0.500
Br1 0.152 0.665 0.145
Br2 0.294 0.294 0.633
Br3 0.335 0.848 0.855
Br4 0.665 0.152 0.145
Br5 0.706 0.706 0.367
Br6 0.848 0.335 0.855



No. 9
## LaWAu (PBE)

Data for a relaxed structure of LaWAu.

## Properties
Polymorph energy (0 for the lowest one) in eV per atom: 0.040
Symmetry: No. 187
N(E_F) in states/eV per cell: 3.5

abc: 4.536 4.536 4.191
angles: 90.00 90.00 120.00
Fractional positions:
La1 0.000 0.000 0.000
W1 0.333 0.667 0.500
Au1 0.667 0.333 0.500



No. 10
## PmY3Er6Tm2 (PBE)

Data for a relaxed structure of PmY3Er6Tm2.

## Properties
Electronic total energy in eV per atom: -5.014
Symmetry: No. 12
N(E_F) in states/eV per cell: 16.9

abc: 6.112 6.112 11.713
angles: 94.98 94.98 119.94
Fractional positions:
Pm1 0.000 0.000 0.000
Y1 0.167 0.833 0.500
Y2 0.500 0.500 0.500
Y3 0.833 0.167 0.500
Er1 0.084 0.417 0.249
Er2 0.250 0.250 0.751
Er3 0.417 0.084 0.249
Er4 0.583 0.916 0.751
Er5 0.750 0.750 0.249
Er6 0.916 0.583 0.751
Tm1 0.333 0.667 0.000
Tm2 0.667 0.333 0.000



No. 11
## K2LiMn (PBE)

Data for a relaxed structure of K2LiMn.

## Properties
Polymorph energy (0 for the lowest one) in eV per atom: 0.068
Symmetry: No. 8
N(E_F) in states/eV per cell: 3.5

abc: 7.079 7.079 6.551
angles: 108.14 108.14 29.57
Fractional positions:
K1 0.000 0.000 0.000
K2 0.201 0.201 0.637
Li1 0.781 0.781 0.205
Mn1 0.435 0.435 0.456



No. 12
## LuCdRhAu (PBE)

Data for a relaxed structure of LuCdRhAu.

## Properties
Electronic total energy in eV per atom: -4.607
Symmetry: No. 216
N(E_F) in states/eV per cell: 2.2

abc: 4.760 4.760 4.760
angles: 60.00 60.00 60.00
Fractional positions:
Lu1 0.000 0.000 0.000
Cd1 0.500 0.500 0.500
Rh1 0.250 0.250 0.250
Au1 0.750 0.750 0.750



No. 13
## UInPt2 (PBE)

Data for a relaxed structure of UInPt2.

## Properties
Electronic total energy in eV per atom: -7.018
Symmetry: No. 160
N(E_F) in states/eV per cell: 7.2

abc: 6.917 6.917 6.917
angles: 33.52 33.52 33.52
Fractional positions:
U1 0.000 0.000 0.000
In1 0.829 0.829 0.829
Pt1 0.415 0.415 0.415
Pt2 0.583 0.583 0.583



No. 14
## MnHg4Te5 (PBE)

Data for a relaxed structure of MnHg4Te5.

## Properties
Electronic total energy in eV per atom: -2.750
Symmetry: No. 156
N(E_F) in states/eV per cell: 0.9

abc: 4.659 4.659 37.963
angles: 90.00 90.00 120.00
Fractional positions:
Mn1 0.000 0.000 0.000
Mn2 0.000 0.000 0.194
Hg1 0.000 0.000 0.391
Hg2 0.000 0.000 0.595
Hg3 0.000 0.000 0.799
Hg4 0.333 0.667 0.095
Hg5 0.333 0.667 0.289
Hg6 0.333 0.667 0.493
Hg7 0.333 0.667 0.697
Hg8 0.333 0.667 0.901
Te1 0.000 0.000 0.122
Te2 0.000 0.000 0.315
Te3 0.000 0.000 0.519
Te4 0.000 0.000 0.724
Te5 0.000 0.000 0.928
Te6 0.333 0.667 0.019
Te7 0.333 0.667 0.213
Te8 0.333 0.667 0.417
Te9 0.333 0.667 0.621
Te10 0.333 0.667 0.825